No. 1
Density functional theory data (PBE-GGA) for crystalline CdCuCl2 at its relaxed geometry.

The structure in CIF format:
```
data_CdCuCl2
_cell_length_a 3.5610
_cell_length_b 3.5610
_cell_length_c 23.1494
_cell_angle_alpha 90.00
_cell_angle_beta 90.00
_cell_angle_gamma 120.00
_space_group_name_H-M_alt 'R -3 m'
_space_group_IT_number 166
_space_group_name_Hall '-R 3 2"'
loop_
_atom_site_label
_atom_site_type_symbol
_atom_site_fract_x
_atom_site_fract_y
_atom_site_fract_z
Cd1 Cd 0.0000 0.0000 0.0000
Cu1 Cu 0.0000 0.0000 0.5000
Cl1 Cl 0.0000 0.0000 0.2279
```

Values from the calculation:
energy above the lowest structure with this stoichiometry	0.54	eV per formula unit
ΔE_f (raw)	-0.3395	eV/atom
ρ	4.84	Mg/m³

No. 2
Density functional theory data (PBE-GGA) for crystalline CdCuCl2 at its relaxed geometry.

The structure in CIF format:
```
data_CdCuCl2
_cell_length_a 3.7745
_cell_length_b 3.8040
_cell_length_c 6.5343
_cell_angle_alpha 90.00
_cell_angle_beta 90.00
_cell_angle_gamma 90.00
_space_group_name_H-M_alt 'P m m m'
_space_group_IT_number 47
loop_
_space_group_symop_operation_xyz
'x,y,z'
'-x,-y,-z'
'-x,-y,z'
'x,y,-z'
'x,-y,-z'
'-x,y,z'
'-x,y,-z'
'x,-y,z'
loop_
_atom_site_label
_atom_site_type_symbol
_atom_site_fract_x
_atom_site_fract_y
_atom_site_fract_z
Cd1 Cd 0.0000 0.0000 0.0000
Cu1 Cu 0.5000 0.0000 0.5000
Cl1 Cl 0.0000 0.5000 0.5000
Cl2 Cl 0.5000 0.5000 0.0000
```

Values from the calculation:
energy above the lowest structure with this stoichiometry	1.29	eV per formula unit
ΔE_f (raw)	-0.1529	eV/atom
ρ	4.37	Mg/m³

No. 3
Density functional theory data (PBE-GGA) for crystalline CdCuCl2 at its relaxed geometry.

The structure in CIF format:
```
data_CdCuCl2
_cell_length_a 3.6915
_cell_length_b 6.4138
_cell_length_c 8.5886
_cell_angle_alpha 90.00
_cell_angle_beta 90.00
_cell_angle_gamma 90.00
_space_group_name_H-M_alt 'C m m 2'
_space_group_IT_number 35
loop_
_space_group_symop_operation_xyz
'x,y,z'
'-x,-y,z'
'-x,y,z'
'x,-y,z'
'x+1/2,y+1/2,z'
'-x+1/2,-y+1/2,z'
'-x+1/2,y+1/2,z'
'x+1/2,-y+1/2,z'
loop_
_atom_site_label
_atom_site_type_symbol
_atom_site_fract_x
_atom_site_fract_y
_atom_site_fract_z
Cd1 Cd 0.0000 0.0000 0.0000
Cu1 Cu 0.0000 0.5000 0.7667
Cl1 Cl 0.0000 0.0000 0.6158
Cl2 Cl 0.0000 0.5000 0.2034
```

Values from the calculation:
energy above the lowest structure with this stoichiometry	0.43	eV per formula unit
ΔE_f (raw)	-0.3688	eV/atom
ρ	4.03	Mg/m³

No. 4
Density functional theory data (PBE-GGA) for crystalline CdCu2Cl8 at its relaxed geometry.

The structure in CIF format:
```
data_CdCu2Cl8
_cell_length_a 11.2056
_cell_length_b 10.4809
_cell_length_c 6.5949
_cell_angle_alpha 90.00
_cell_angle_beta 110.84
_cell_angle_gamma 90.00
_space_group_name_H-M_alt 'C 1 2/m 1'
_space_group_IT_number 12
loop_
_space_group_symop_operation_xyz
'x,y,z'
'-x,-y,-z'
'-x,y,-z'
'x,-y,z'
'x+1/2,y+1/2,z'
'-x+1/2,-y+1/2,-z'
'-x+1/2,y+1/2,-z'
'x+1/2,-y+1/2,z'
loop_
_atom_site_label
_atom_site_type_symbol
_atom_site_fract_x
_atom_site_fract_y
_atom_site_fract_z
Cd1 Cd 0.0000 0.0000 0.0000
Cu1 Cu 0.1633 0.0000 0.6372
Cl1 Cl 0.0520 0.5000 0.1601
Cl2 Cl 0.1080 0.1567 0.8063
Cl3 Cl 0.2261 0.0000 0.3651
```

Values from the calculation:
ΔE_f (raw)	-0.4848	eV/atom
ρ	2.40	Mg/m³

No. 5
Density functional theory data (PBE-GGA) for crystalline CdCuCl2 at its relaxed geometry.

The structure in CIF format:
```
data_CdCuCl2
_cell_length_a 3.9521
_cell_length_b 3.2647
_cell_length_c 7.9987
_cell_angle_alpha 90.00
_cell_angle_beta 93.74
_cell_angle_gamma 90.00
_space_group_name_H-M_alt 'P 1 2/m 1'
_space_group_IT_number 10
loop_
_space_group_symop_operation_xyz
'x,y,z'
'-x,-y,-z'
'-x,y,-z'
'x,-y,z'
loop_
_atom_site_label
_atom_site_type_symbol
_atom_site_fract_x
_atom_site_fract_y
_atom_site_fract_z
Cd1 Cd 0.0000 0.0000 0.0000
Cu1 Cu 0.5000 0.0000 0.5000
Cl1 Cl 0.3781 0.5000 0.6913
```

Values from the calculation:
energy above the lowest structure with this stoichiometry	0.56	eV per formula unit
ΔE_f (raw)	-0.3358	eV/atom
ρ	3.98	Mg/m³

No. 6
Density functional theory data (PBE-GGA) for crystalline CdCuCl2 at its relaxed geometry.

The structure in CIF format:
```
data_CdCuCl2
_cell_length_a 3.3084
_cell_length_b 3.3084
_cell_length_c 8.1568
_cell_angle_alpha 90.00
_cell_angle_beta 90.00
_cell_angle_gamma 90.00
_space_group_name_H-M_alt 'P 4 m m'
_space_group_IT_number 99
loop_
_space_group_symop_operation_xyz
'x,y,z'
'-y,x,z'
'-x,-y,z'
'y,-x,z'
'-x,y,z'
'y,x,z'
'x,-y,z'
'-y,-x,z'
loop_
_atom_site_label
_atom_site_type_symbol
_atom_site_fract_x
_atom_site_fract_y
_atom_site_fract_z
Cd1 Cd 0.0000 0.0000 0.0000
Cu1 Cu 0.5000 0.5000 0.7656
Cl1 Cl 0.0000 0.0000 0.6264
Cl2 Cl 0.5000 0.5000 0.1918
```

Values from the calculation:
energy above the lowest structure with this stoichiometry	0.79	eV per formula unit
ΔE_f (raw)	-0.2763	eV/atom
ρ	4.59	Mg/m³